{
  "formula": "LaAgPH",
  "functional": "PBE-GGA",
  "state": "relaxed",
  "cell": [[4.118, 0.000, 0.000], [0.000, 4.118, 0.000], [0.000, 0.000, 8.188]],
  "species": ["La", "La", "Ag", "Ag", "P", "P", "H", "H"],
  "frac_coords": [[0.250, 0.250, 0.165], [0.750, 0.750, 0.835], [0.250, 0.750, 0.500], [0.750, 0.250, 0.500], [0.250, 0.250, 0.714], [0.750, 0.750, 0.286], [0.250, 0.750, 0.000], [0.750, 0.250, 0.000]],
  "total_energy_ev_per_cell": -39.2,
  "dos_ef_per_ev_fu": 0.172
}



{
  "formula": "La2AgHPb",
  "functional": "PBE-GGA",
  "state": "relaxed",
  "cell": [[5.135, 0.000, 0.000], [0.000, 5.135, 0.000], [0.000, 0.000, 4.507]],
  "species": ["La", "La", "Ag", "H", "Pb"],
  "frac_coords": [[0.000, 0.500, 0.000], [0.500, 0.000, 0.000], [0.000, 0.000, 0.500], [0.000, 0.000, 0.000], [0.500, 0.500, 0.500]],
  "total_energy_ev_per_cell": -22.0,
  "dos_ef_per_ev_fu": 2.982
}



{
  "formula": "La2AgHPd",
  "functional": "PBE-GGA",
  "state": "relaxed",
  "cell": [[5.311, 0.000, 0.000], [0.000, 5.311, 0.000], [0.000, 0.000, 3.834]],
  "species": ["La", "La", "Ag", "H", "Pd"],
  "frac_coords": [[0.000, 0.500, 0.000], [0.500, 0.000, 0.000], [0.000, 0.000, 0.500], [0.500, 0.500, 0.000], [0.500, 0.500, 0.500]],
  "total_energy_ev_per_cell": -23.6,
  "relative_energy_mev_per_atom": 0,
  "dos_ef_per_ev_fu": 4.273
}



{
  "formula": "La2AgHPd",
  "functional": "PBE-GGA",
  "state": "relaxed",
  "cell": [[5.518, 0.000, 0.000], [0.000, 5.518, 0.000], [0.000, 0.000, 5.148]],
  "species": ["La", "La", "Ag", "H", "Pd"],
  "frac_coords": [[0.000, 0.500, 0.000], [0.500, 0.000, 0.000], [0.000, 0.000, 0.500], [0.500, 0.500, 0.500], [0.000, 0.000, 0.000]],
  "total_energy_ev_per_cell": -20.3,
  "relative_energy_mev_per_atom": 660,
  "dos_ef_per_ev_fu": 3.854
}



{
  "formula": "LaAgH6Pd",
  "functional": "PBE-GGA",
  "state": "relaxed",
  "cell": [[4.801, 0.000, 0.000], [-2.401, 4.158, 0.000], [0.000, 0.000, 4.515]],
  "species": ["La", "Ag", "H", "H", "H", "H", "H", "H", "Pd"],
  "frac_coords": [[0.000, 0.000, 0.000], [0.333, 0.667, 0.500], [0.511, 0.021, 0.224], [0.511, 0.021, 0.776], [0.511, 0.489, 0.224], [0.511, 0.489, 0.776], [0.979, 0.489, 0.224], [0.979, 0.489, 0.776], [0.667, 0.333, 0.500]],
  "total_energy_ev_per_cell": -34.8,
  "dos_ef_per_ev_fu": 3.057
}



{
  "formula": "La2AgHPd",
  "functional": "PBE-GGA",
  "state": "relaxed",
  "cell": [[5.113, 0.000, 0.000], [0.000, 5.113, 0.000], [0.000, 0.000, 4.080]],
  "species": ["La", "La", "Ag", "H", "Pd"],
  "frac_coords": [[0.000, 0.500, 0.000], [0.500, 0.000, 0.000], [0.000, 0.000, 0.500], [0.000, 0.000, 0.000], [0.500, 0.500, 0.500]],
  "total_energy_ev_per_cell": -23.4,
  "relative_energy_mev_per_atom": 42,
  "dos_ef_per_ev_fu": 4.276
}



{
  "formula": "LaRe2AgH",
  "functional": "PBE-GGA",
  "state": "relaxed",
  "cell": [[4.999, 0.000, 0.000], [0.000, 4.999, 0.000], [0.000, 0.000, 3.538]],
  "species": ["La", "Re", "Re", "Ag", "H"],
  "frac_coords": [[0.000, 0.000, 0.000], [0.000, 0.500, 0.000], [0.500, 0.000, 0.000], [0.500, 0.500, 0.500], [0.000, 0.000, 0.500]],
  "total_energy_ev_per_cell": -26.0,
  "dos_ef_per_ev_fu": 4.402
}



{
  "formula": "LaReAgH2",
  "functional": "PBE-GGA",
  "state": "relaxed",
  "cell": [[4.029, 0.000, 0.000], [0.000, 4.029, 0.000], [0.000, 0.000, 5.138]],
  "species": ["La", "Re", "Ag", "H", "H"],
  "frac_coords": [[0.000, 0.000, 0.000], [0.500, 0.500, 0.500], [0.500, 0.500, 0.000], [0.000, 0.500, 0.500], [0.500, 0.000, 0.500]],
  "total_energy_ev_per_cell": -24.1,
  "dos_ef_per_ev_fu": 3.572
}